A relaxed GeSeI crystal. Source: Alexandria, functional PBE-GGA.

The structure belongs to space group P2_1/m (No. 11); the cell edges are 4.921, 4.798 and 9.244 Å and the angles 90.00°, 92.78° and 90.00°. Symmetry generates all atoms from Ge at (0.033, 0.250, 0.379), Se at (0.235, 0.750, 0.398) and I at (0.312, 0.750, 0.844).

As for the total energy: -3.416 eV per atom. The energy above the most stable polymorph in this dataset is 0 meV/atom. As for the magnetic moment: 0.000 μB per atom. The formation energy (no corrections) comes out at -0.199 eV/atom.